# Rb5O PBE-GGA optimized geometry
data_Rb5O
_chemical_formula_sum 'Rb10 O2'
_symmetry_space_group_name_H-M 'C 1 m 1'
_symmetry_Int_Tables_number 8
_cell_length_a 16.475
_cell_length_b 4.234
_cell_length_c 11.245
_cell_angle_alpha 90.00
_cell_angle_beta 103.85
_cell_angle_gamma 90.00
loop_
_symmetry_equiv_pos_as_xyz
'x,y,z'
'x,-y,z'
'x+1/2,y+1/2,z'
'x+1/2,-y+1/2,z'
loop_
_atom_site_label
_atom_site_fract_x
_atom_site_fract_y
_atom_site_fract_z
Rb1 0.000 0.000 0.000
Rb2 0.038 0.000 0.402
Rb3 0.145 0.500 0.817
Rb4 0.213 0.000 0.142
Rb5 0.336 0.000 0.595
O1 0.113 0.500 0.029
# * energy relative to the elements, uncorrected: -40 kJ/mol of atoms

=====

# HfTi2H3 PBE-GGA optimized geometry
data_HfTi2H3
_chemical_formula_sum 'Hf2 Ti4 H6'
_symmetry_space_group_name_H-M 'C 1 2/m 1'
_symmetry_Int_Tables_number 12
_cell_length_a 9.608
_cell_length_b 4.269
_cell_length_c 3.060
_cell_angle_alpha 90.00
_cell_angle_beta 107.78
_cell_angle_gamma 90.00
loop_
_symmetry_equiv_pos_as_xyz
'x,y,z'
'-x,-y,-z'
'-x,y,-z'
'x,-y,z'
'x+1/2,y+1/2,z'
'-x+1/2,-y+1/2,-z'
'-x+1/2,y+1/2,-z'
'x+1/2,-y+1/2,z'
loop_
_atom_site_label
_atom_site_fract_x
_atom_site_fract_y
_atom_site_fract_z
Hf1 0.000 0.000 0.000
Ti1 0.169 0.500 0.669
H1 0.000 0.500 0.000
H2 0.175 0.000 0.676
# * total DFT energy (no corrections): -6.26 eV per atom

=====

# CaTc2Mo PBE-GGA optimized geometry
data_CaTc2Mo
_chemical_formula_sum 'Ca2 Tc4 Mo2'
_symmetry_space_group_name_H-M 'C m m m'
_symmetry_Int_Tables_number 65
_symmetry_space_group_name_Hall '-C 2 2'
_cell_length_a 3.233
_cell_length_b 4.594
_cell_length_c 9.299
_cell_angle_alpha 90.00
_cell_angle_beta 90.00
_cell_angle_gamma 90.00
loop_
_atom_site_label
_atom_site_fract_x
_atom_site_fract_y
_atom_site_fract_z
Ca1 0.000 0.000 0.000
Tc1 0.000 0.500 0.277
Mo1 0.000 0.000 0.500
# * energy of formation from the pure elements: 448 meV per atom

=====

# Cs2TeS PBE-GGA optimized geometry
data_Cs2TeS
_chemical_formula_sum 'Cs8 Te4 S4'
_symmetry_space_group_name_H-M 'I -4 2 d'
_symmetry_Int_Tables_number 122
_symmetry_space_group_name_Hall 'I -4 2bw'
_cell_length_a 12.173
_cell_length_b 12.173
_cell_length_c 5.552
_cell_angle_alpha 90.00
_cell_angle_beta 90.00
_cell_angle_gamma 90.00
loop_
_atom_site_label
_atom_site_fract_x
_atom_site_fract_y
_atom_site_fract_z
Cs1 0.097 0.250 0.125
Te1 0.000 0.000 0.500
S1 0.000 0.000 0.000
# * energy relative to the elements, uncorrected: -70 kJ/mol of atoms

=====

# La2MgHPt6 PBE-GGA optimized geometry
data_La2MgHPt6
_chemical_formula_sum 'La6 Mg3 H3 Pt18'
_symmetry_space_group_name_H-M 'R -3 m'
_symmetry_Int_Tables_number 166
_symmetry_space_group_name_Hall '-R 3 2"'
_cell_length_a 5.7243
_cell_length_b 5.7243
_cell_length_c 19.3351
_cell_angle_alpha 90.00
_cell_angle_beta 90.00
_cell_angle_gamma 120.00
loop_
_atom_site_label
_atom_site_fract_x
_atom_site_fract_y
_atom_site_fract_z
La1 0.0000 0.0000 0.2221
Mg1 0.0000 0.0000 0.5000
H1 0.0000 0.0000 0.0000
Pt1 0.0040 0.5020 0.2722
# * total DFT energy (no corrections): -5.88 eV per atom

=====

# LaPmPr2In4 PBE-GGA optimized geometry
data_LaPmPr2In4
_chemical_formula_sum 'La3 Pm3 Pr6 In12'
_symmetry_space_group_name_H-M 'R -3 m'
_symmetry_Int_Tables_number 166
_symmetry_space_group_name_Hall '-R 3 2"'
_cell_length_a 5.5152
_cell_length_b 5.5152
_cell_length_c 27.0748
_cell_angle_alpha 90.00
_cell_angle_beta 90.00
_cell_angle_gamma 120.00
loop_
_atom_site_label
_atom_site_fract_x
_atom_site_fract_y
_atom_site_fract_z
La1 0.0000 0.0000 0.0000
Pm1 0.0000 0.0000 0.5000
Pr1 0.0000 0.0000 0.2498
In1 0.0000 0.0000 0.1261
In2 0.0000 0.0000 0.3761
# * energy of formation from the pure elements: -497 meV per atom

=====

# Tb2PrTm PBE-GGA optimized geometry
data_Tb2PrTm
_chemical_formula_sum 'Tb4 Pr2 Tm2'
_symmetry_space_group_name_H-M 'I -4 m 2'
_symmetry_Int_Tables_number 119
_symmetry_space_group_name_Hall 'I -4 -2'
_cell_length_a 5.083
_cell_length_b 5.083
_cell_length_c 10.049
_cell_angle_alpha 90.00
_cell_angle_beta 90.00
_cell_angle_gamma 90.00
loop_
_atom_site_label
_atom_site_fract_x
_atom_site_fract_y
_atom_site_fract_z
Tb1 0.000 0.000 0.000
Tb2 0.000 0.500 0.250
Pr1 0.000 0.500 0.750
Tm1 0.000 0.000 0.500
# * energy of formation from the pure elements: 22 meV per atom

=====

# LiDyMg5 PBE-GGA optimized geometry
data_LiDyMg5
_chemical_formula_sum 'Li2 Dy2 Mg10'
_symmetry_space_group_name_H-M 'C 1 2/m 1'
_symmetry_Int_Tables_number 12
_cell_length_a 6.186
_cell_length_b 9.101
_cell_length_c 6.654
_cell_angle_alpha 90.00
_cell_angle_beta 90.12
_cell_angle_gamma 90.00
loop_
_symmetry_equiv_pos_as_xyz
'x,y,z'
'-x,-y,-z'
'-x,y,-z'
'x,-y,z'
'x+1/2,y+1/2,z'
'-x+1/2,-y+1/2,-z'
'-x+1/2,y+1/2,-z'
'x+1/2,-y+1/2,z'
loop_
_atom_site_label
_atom_site_fract_x
_atom_site_fract_y
_atom_site_fract_z
Li1 0.000 0.000 0.000
Dy1 0.000 0.500 0.500
Mg1 0.000 0.500 0.000
Mg2 0.250 0.250 0.242
# * energy of formation from the pure elements: 137 meV per atom

=====

Number 1: volume 380.8 Å³/f.u., N(E_F) 0.61 states/eV/atom. Number 2: volume 59.8 Å³/f.u., N(E_F) 0.87 states/eV/atom. Number 3: volume 69.1 Å³/f.u., N(E_F) 1.27 states/eV/atom. Number 4: volume 205.7 Å³/f.u., N(E_F) 0.05 states/eV/atom. Number 5: volume 182.9 Å³/f.u., N(E_F) 0.45 states/eV/atom. Number 6: volume 237.7 Å³/f.u., N(E_F) 0.47 states/eV/atom. Number 7: volume 129.8 Å³/f.u., N(E_F) 1.42 states/eV/atom. Number 8: volume 187.3 Å³/f.u., N(E_F) 0.68 states/eV/atom.